HoTmTl4Ni2 after structural relaxation. Source: OQMD via LeMat-Bulk, functional PBE.

The space group is Amm2 (No. 38) and the conventional cell measures 7.5401, 4.3297 and 10.6712 Å, with angles of 90.00, 90.00 and 90.00 degrees. The inequivalent atoms are Ho at (0.0000, 0.0000, 0.0000), Tm at (0.5000, 0.0000, 0.1384), Tl at (0.2044, 0.0000, 0.7098), Tl at (0.2967, 0.0000, 0.4282), Ni at (0.0000, 0.0000, 0.2822) and Ni at (0.5000, 0.0000, 0.8566).

Zr2Sn3W4C3 after structural relaxation. Source: OQMD via LeMat-Bulk, functional PBE.

The space group is C2/c (No. 15) and the conventional cell measures 9.8040, 5.6717 and 14.0826 Å, with angles of 90.00, 102.97 and 90.00 degrees. The inequivalent atoms are Zr at (0.0511, 0.0822, 0.4040), Sn at (0.0000, 0.4545, 0.2500), Sn at (0.1857, 0.1019, 0.7494), W at (0.1064, 0.4104, 0.5761), W at (0.2293, 0.4191, 0.9243), C at (0.0852, 0.2554, 0.0000) and C at (0.2500, 0.2500, 0.5000).

Bi2Os3Pb2 after structural relaxation. Source: OQMD via LeMat-Bulk, functional PBE.

The space group is R3m (No. 160, hexagonal axes) and the conventional cell measures 4.7029, 4.7029 and 23.7362 Å, with angles of 90.00, 90.00 and 120.00 degrees. The inequivalent atoms are Bi at (0.0000, 0.0000, 0.0000), Bi at (0.0000, 0.0000, 0.4948), Os at (0.0000, 0.0000, 0.3634), Os at (0.0000, 0.0000, 0.6202), Os at (0.0000, 0.0000, 0.8786), Pb at (0.0000, 0.0000, 0.2420) and Pb at (0.0000, 0.0000, 0.7495).

DyEr2Lu after structural relaxation. Source: OQMD via LeMat-Bulk, functional PBE.

The space group is Ama2 (No. 40) and the conventional cell measures 5.5426, 12.3404 and 7.1242 Å, with angles of 90.00, 90.00 and 90.00 degrees. The inequivalent atoms are Dy at (0.2500, 0.1666, 0.0000), Er at (0.2500, 0.1662, 0.4998), Er at (0.2500, 0.4169, 0.7505) and Lu at (0.2500, 0.4169, 0.2493).

The value obtained for the formation energy is 0.001 eV per atom.

HoAlCu after structural relaxation. Source: OQMD via LeMat-Bulk, functional PBE.

The space group is P-62m (No. 189) and the conventional cell measures 6.9605, 6.9605 and 4.0225 Å, with angles of 90.00, 90.00 and 120.00 degrees. The inequivalent atoms are Ho at (0.0000, 0.5851, 0.0000), Al at (0.0000, 0.2366, 0.5000), Cu at (0.0000, 0.0000, 0.0000) and Cu at (0.3333, 0.6667, 0.5000).

NaSmHgSe3 after structural relaxation. Source: OQMD via LeMat-Bulk, functional PBE.

The space group is Pnma (No. 62) and the conventional cell measures 12.7432, 4.2274 and 12.3613 Å, with angles of 90.00, 90.00 and 90.00 degrees. The inequivalent atoms are Na at (0.1355, 0.2500, 0.0039), Sm at (0.0486, 0.2500, 0.6744), Hg at (0.2372, 0.2500, 0.2939), Se at (0.0566, 0.7500, 0.8455), Se at (0.0783, 0.2500, 0.4266) and Se at (0.2272, 0.7500, 0.1508).

The calculation puts the energy above the most stable polymorph in this dataset at 4.8 meV per atom.

Li8CdO6 after structural relaxation. Source: OQMD via LeMat-Bulk, functional PBE.

The space group is R-3 (No. 148, hexagonal axes) and the conventional cell measures 5.5092, 5.5092 and 15.4667 Å, with angles of 90.00, 90.00 and 120.00 degrees. The inequivalent atoms are Li at (0.0000, 0.0000, 0.1547), Li at (0.0079, 0.3169, 0.7143), Cd at (0.0000, 0.0000, 0.5000) and O at (0.0012, 0.3485, 0.2512).

FeI2 after structural relaxation. Source: OQMD via LeMat-Bulk, functional PBE.

The space group is Fd-3m (No. 227, origin choice 2) and the conventional cell measures 9.5957, 9.5957 and 9.5957 Å, with angles of 90.00, 90.00 and 90.00 degrees. The inequivalent atoms are Fe at (0.1250, 0.1250, 0.1250) and I at (0.0000, 0.0000, 0.5000).

PmErAl after structural relaxation. Source: OQMD via LeMat-Bulk, functional PBE.

The space group is P4/nmm (No. 129, origin choice 2) and the conventional cell measures 4.7301, 4.7301 and 7.6513 Å, with angles of 90.00, 90.00 and 90.00 degrees. The inequivalent atoms are Pm at (0.2500, 0.2500, 0.2084), Er at (0.2500, 0.2500, 0.7408) and Al at (0.2500, 0.7500, 0.5000).

The calculation puts the energy above the most stable polymorph in this dataset at 0.0 meV per atom.

Tm3TlC after structural relaxation. Source: OQMD via LeMat-Bulk, functional PBE.

The space group is Pm-3m (No. 221) and the conventional cell measures 4.8310, 4.8310 and 4.8310 Å, with angles of 90.00, 90.00 and 90.00 degrees. The inequivalent atoms are Tm at (0.0000, 0.0000, 0.5000), Tl at (0.5000, 0.5000, 0.5000) and C at (0.0000, 0.0000, 0.0000).

KHgB4 after structural relaxation. Source: OQMD via LeMat-Bulk, functional PBE.

The space group is Immm (No. 71) and the conventional cell measures 3.0461, 5.4223 and 9.6671 Å, with angles of 90.00, 90.00 and 90.00 degrees. The inequivalent atoms are K at (0.0000, 0.0000, 0.0000), Hg at (0.0000, 0.0000, 0.5000) and B at (0.0000, 0.3357, 0.2499).

The calculation puts the energy above the most stable polymorph in this dataset at 0.0 meV per atom.

Sr3PdN3 after structural relaxation. Source: OQMD via LeMat-Bulk, functional PBE.

The space group is P6_3/m (No. 176) and the conventional cell measures 7.6486, 7.6486 and 5.3344 Å, with angles of 90.00, 90.00 and 120.00 degrees. The inequivalent atoms are Sr at (0.0885, 0.3621, 0.2500), Pd at (0.3333, 0.6667, 0.7500) and N at (0.0936, 0.3946, 0.7500).

Li4Tl2AgPd after structural relaxation. Source: OQMD via LeMat-Bulk, functional PBE.

The space group is P-4m2 (No. 115) and the conventional cell measures 4.6181, 4.6181 and 6.5288 Å, with angles of 90.00, 90.00 and 90.00 degrees. The inequivalent atoms are Li at (0.0000, 0.0000, 0.0000), Li at (0.0000, 0.5000, 0.2453), Li at (0.5000, 0.5000, 0.5000), Tl at (0.0000, 0.5000, 0.7614), Ag at (0.0000, 0.0000, 0.5000) and Pd at (0.5000, 0.5000, 0.0000).

Pr2MgSnO6 after structural relaxation. Source: OQMD via LeMat-Bulk, functional PBE.

The space group is P2_1/c (No. 14) and the conventional cell measures 5.5514, 5.7373 and 9.6695 Å, with angles of 90.00, 124.80 and 90.00 degrees. The inequivalent atoms are Pr at (0.2351, 0.0535, 0.2497), Mg at (0.0000, 0.0000, 0.5000), Sn at (0.5000, 0.0000, 0.0000), O at (0.1504, 0.2033, 0.9485), O at (0.2461, 0.7038, 0.9477) and O at (0.3479, 0.0316, 0.7494).

MgCuBiAu after structural relaxation. Source: OQMD via LeMat-Bulk, functional PBE.

The space group is F-43m (No. 216) and the conventional cell measures 6.8117, 6.8117 and 6.8117 Å, with angles of 90.00, 90.00 and 90.00 degrees. The inequivalent atoms are Mg at (0.0000, 0.0000, 0.0000), Cu at (0.0000, 0.0000, 0.5000), Bi at (0.2500, 0.2500, 0.2500) and Au at (0.2500, 0.2500, 0.7500).

The calculation puts the energy above the most stable polymorph in this dataset at 0.0 meV per atom.

K2Y2HoMg3Cd after structural relaxation. Source: OQMD via LeMat-Bulk, functional PBE.

The space group is Amm2 (No. 38) and the conventional cell measures 3.5124, 13.8304 and 11.7143 Å, with angles of 90.00, 90.00 and 90.00 degrees. The inequivalent atoms are K at (0.0000, 0.1203, 0.0000), Y at (0.5000, 0.2089, 0.7129), Ho at (0.5000, 0.0000, 0.2734), Mg at (0.0000, 0.0000, 0.7387), Mg at (0.0000, 0.1482, 0.4352) and Cd at (0.5000, 0.0000, 0.5431).

Sn4B3Pd after structural relaxation. Source: OQMD via LeMat-Bulk, functional PBE.

The space group is I4/mmm (No. 139) and the conventional cell measures 5.2052, 5.2052 and 10.2190 Å, with angles of 90.00, 90.00 and 90.00 degrees. The inequivalent atoms are Sn at (0.0000, 0.0000, 0.2334), Sn at (0.0000, 0.5000, 0.0000), B at (0.0000, 0.0000, 0.0000), B at (0.0000, 0.5000, 0.2500) and Pd at (0.0000, 0.0000, 0.5000).

KNa2Hg after structural relaxation. Source: OQMD via LeMat-Bulk, functional PBE.

The space group is F-43m (No. 216) and the conventional cell measures 8.0475, 8.0475 and 8.0475 Å, with angles of 90.00, 90.00 and 90.00 degrees. The inequivalent atoms are K at (0.0000, 0.0000, 0.0000), Na at (0.0000, 0.0000, 0.5000), Na at (0.2500, 0.2500, 0.2500) and Hg at (0.2500, 0.2500, 0.7500).

The calculation puts the energy above the most stable polymorph in this dataset at 57.4 meV per atom.

TbMgAgTe2Se after structural relaxation. Source: OQMD via LeMat-Bulk, functional PBE.

The space group is Cmcm (No. 63) and the conventional cell measures 4.1273, 13.9728 and 10.9633 Å, with angles of 90.00, 90.00 and 90.00 degrees. The inequivalent atoms are Tb at (0.0000, 0.0000, 0.0000), Mg at (0.0000, 0.2540, 0.2500), Ag at (0.0000, 0.4836, 0.7500), Te at (0.0000, 0.3457, 0.5693) and Se at (0.0000, 0.1075, 0.7500).

SmHoCu4 after structural relaxation. Source: OQMD via LeMat-Bulk, functional PBE.

The space group is Imm2 (No. 44) and the conventional cell measures 4.2781, 6.8839 and 7.3896 Å, with angles of 90.00, 90.00 and 90.00 degrees. The inequivalent atoms are Sm at (0.0000, 0.0000, 0.0000), Ho at (0.0000, 0.5000, 0.9218), Cu at (0.0000, 0.2020, 0.6234) and Cu at (0.0000, 0.2947, 0.2936).

The value obtained for the formation energy is -0.253 eV per atom.

| no. | total energy (eV per atom) |
| --- | --- |
| 1 | -3.86 |
| 2 | -9.19 |
| 3 | -6.17 |
| 4 | -4.56 |
| 5 | -4.47 |
| 6 | -3.90 |
| 7 | -4.57 |
| 8 | -2.24 |
| 9 | -4.43 |
| 10 | -5.51 |
| 11 | -4.05 |
| 12 | -5.34 |
| 13 | -2.84 |
| 14 | -7.22 |
| 15 | -3.16 |
| 16 | -2.55 |
| 17 | -4.45 |
| 18 | -1.10 |
| 19 | -3.98 |
| 20 | -4.28 |